Mg2VAsF | PBE with a Hubbard U | optimized geometry

The structure in POSCAR format:
```
Mg2VAsF
1.0
-3.0410 1.4961 -4.2197
1.3248 -2.9553 -2.0026
-4.0618 -3.0674 1.8396
As F Mg V
1 1 2 1
direct
0.5000 0.5000 0.5000
0.0000 0.5000 0.0000
0.0000 0.0000 0.5000
0.5000 0.0000 0.0000
0.0000 0.0000 0.0000
```

total magnetic moment: 3.608 μB per formula unit
theoretical density: 2.88 g/cm³
uncorrected energy: -17.49 eV for the cell shown